1.
PrThTl: relaxed, PBE-GGA.

Cell lengths 3.5527, 3.5527, 15.0266 Å; angles 90.00, 90.00, 90.00 degrees
Space group I4mm (No. 107)
Inequivalent atoms, fractional coordinates:
Pr  0.0000  0.0000  0.0000 x2
Th  0.0000  0.0000  0.6850 x2
Tl  0.0000  0.0000  0.3426 x2

Values from the calculation:
The value obtained for the energy of formation is -24 kJ/mol of formula units. As for the density of states at the Fermi level: 1.27 states/eV per atom. The calculated total energy comes out at -0.1815 hartree per atom. The calculation puts the energy above the most stable polymorph in this dataset at 0.25 eV/f.u.



2.
Pr5ThTl4: relaxed, PBE-GGA.

Cell lengths 3.6797, 3.6797, 22.7696 Å; angles 90.00, 90.00, 90.00 degrees
Space group P4/mmm (No. 123)
Inequivalent atoms, fractional coordinates:
Pr  0.0000  0.0000  0.0000 x1
Pr  0.0000  0.0000  0.1961 x2
Pr  0.0000  0.0000  0.3922 x2
Th  0.5000  0.5000  0.5000 x1
Tl  0.5000  0.5000  0.0981 x2
Tl  0.5000  0.5000  0.2943 x2

Values from the calculation:
The value obtained for the energy of formation is -299 kJ/mol of formula units. As for the density of states at the Fermi level: 0.67 states/eV per atom. The calculated total energy comes out at -0.1613 hartree per atom.



3.
Pr2ThTl3: relaxed, PBE-GGA.

Cell lengths 3.6277, 3.6277, 13.5638 Å; angles 90.00, 90.00, 90.00 degrees
Space group P4/mmm (No. 123)
Inequivalent atoms, fractional coordinates:
Pr  0.0000  0.0000  0.1665 x2
Th  0.0000  0.0000  0.5000 x1
Tl  0.5000  0.5000  0.0000 x1
Tl  0.5000  0.5000  0.3335 x2

Values from the calculation:
The value obtained for the energy of formation is -175 kJ/mol of formula units. As for the density of states at the Fermi level: 1.01 states/eV per atom. The calculated total energy comes out at -0.1586 hartree per atom.